1.
{"formula": "KNa2Li", "functional": "PBE", "state": "relaxed", "lattice": [[5.987, 0.000, 0.000], [2.994, 5.185, 0.000], [2.994, 1.728, 5.251]], "species": ["K", "Li", "Na", "Na"], "frac_coords": [[0.499, 0.499, 0.503], [0.739, 0.739, 0.783], [0.258, 0.258, 0.225], [0.004, 0.004, 0.989]], "e_form_kj_per_mol_fu": 39, "volume_a3_per_cell": 163.01, "e_tot_ev_per_cell": -5.25}



2.
{"formula": "Pm3Y2Er", "functional": "PBE", "state": "relaxed", "lattice": [[-6.286, 9.591, 1.895], [-4.740, -2.462, -3.260], [0.390, -0.964, 6.171]], "species": ["Y", "Y", "Y", "Y", "Pm", "Pm", "Pm", "Pm", "Pm", "Pm", "Er", "Er"], "frac_coords": [[0.220, 0.499, 0.833], [0.720, 0.501, 0.167], [0.220, 0.833, 0.499], [0.720, 0.167, 0.501], [0.970, 0.166, 0.835], [0.970, 0.835, 0.166], [0.470, 0.165, 0.834], [0.470, 0.499, 0.499], [0.470, 0.834, 0.165], [0.970, 0.501, 0.501], [0.720, 0.834, 0.834], [0.220, 0.166, 0.166]], "e_form_kj_per_mol_fu": -2, "volume_a3_per_cell": 394.11, "e_tot_ev_per_cell": -63.53}



3.
{"formula": "NdSmMnHg", "functional": "PBE", "state": "relaxed", "lattice": [[5.292, 0.000, 0.000], [2.646, 4.583, 0.000], [2.646, 1.528, 4.321]], "species": ["Hg", "Nd", "Sm", "Mn"], "frac_coords": [[0.500, 0.500, 0.500], [0.750, 0.750, 0.750], [0.250, 0.250, 0.250], [0.000, 0.000, 0.000]], "e_form_kj_per_mol_fu": -22, "volume_a3_per_cell": 104.78, "e_tot_ev_per_cell": -19.19}



4.
{"formula": "CdIn5", "functional": "PBE", "state": "relaxed", "lattice": [[3.378, 0.000, 0.000], [0.000, 3.378, 0.000], [0.000, 0.000, 13.940]], "species": ["In", "In", "In", "In", "In", "Cd"], "frac_coords": [[0.500, 0.500, 0.330], [0.000, 0.000, 0.841], [0.500, 0.500, 0.670], [0.000, 0.000, 0.500], [0.000, 0.000, 0.159], [0.500, 0.500, 0.000]], "e_form_kj_per_mol_fu": 12, "volume_a3_per_cell": 159.07, "e_tot_ev_per_cell": -14.49}



5.
{"formula": "AcTb5Sn6", "functional": "PBE", "state": "relaxed", "lattice": [[-6.627, 4.059, 3.105], [-2.488, -1.664, 5.626], [3.515, 4.192, 6.404]], "species": ["Tb", "Tb", "Tb", "Tb", "Tb", "Sn", "Sn", "Sn", "Sn", "Sn", "Sn", "Ac"], "frac_coords": [[0.500, 0.148, 0.704], [0.500, 0.500, 0.000], [0.000, 0.678, 0.643], [0.000, 0.322, 0.357], [0.500, 0.852, 0.296], [0.778, 0.694, 0.000], [0.718, 0.472, 0.651], [0.282, 0.877, 0.651], [0.222, 0.306, 0.000], [0.282, 0.528, 0.349], [0.718, 0.123, 0.349], [0.000, 0.000, 0.000]], "e_form_kj_per_mol_fu": -705, "volume_a3_per_cell": 357.64, "e_tot_ev_per_cell": -58.59}



6.
{"formula": "Te2Au3I", "functional": "PBE", "state": "relaxed", "lattice": [[4.406, -0.197, -0.949], [-0.713, 6.821, -1.961], [0.283, -0.977, 13.367]], "species": ["Au", "Au", "Au", "Au", "Au", "Au", "I", "I", "Te", "Te", "Te", "Te"], "frac_coords": [[0.758, 0.924, 0.531], [0.242, 0.076, 0.469], [0.802, 0.174, 0.116], [0.430, 0.007, 0.224], [0.570, 0.993, 0.776], [0.198, 0.826, 0.884], [0.717, 0.557, 0.213], [0.283, 0.443, 0.787], [0.966, 0.812, 0.058], [0.736, 0.234, 0.422], [0.034, 0.188, 0.942], [0.264, 0.766, 0.578]], "formation_energy_uncorrected_ev_per_atom": -0.0418, "volume_a3_per_cell": 392.76, "e_tot_ev_per_cell": -35.83}



7.
{"formula": "Ho3Tl", "functional": "PBE", "state": "relaxed", "lattice": [[5.479, 0.000, 0.000], [0.000, 3.494, 0.000], [0.000, 0.000, 6.066]], "species": ["Ho", "Ho", "Ho", "Tl"], "frac_coords": [[0.500, 0.500, 0.161], [0.000, 0.000, 0.994], [0.000, 0.500, 0.499], [0.500, 0.000, 0.679]], "e_form_kj_per_mol_fu": -36, "volume_a3_per_cell": 116.10, "e_tot_ev_per_cell": -16.47}



8.
{"formula": "Nd2TmIn", "functional": "PBE", "state": "relaxed", "lattice": [[-4.596, 1.026, 2.927], [-4.729, -2.606, -1.261], [-2.032, -3.866, 3.417]], "species": ["In", "Nd", "Nd", "Tm"], "frac_coords": [[0.500, 0.500, 0.500], [0.250, 0.250, 0.250], [0.750, 0.750, 0.750], [0.000, 0.000, 0.000]], "e_form_kj_per_mol_fu": -62, "volume_a3_per_cell": 120.56, "e_tot_ev_per_cell": -17.39}



9.
{"formula": "Li2ThNpN4", "functional": "PBE", "state": "relaxed", "lattice": [[3.561, 0.000, 0.000], [0.000, 6.177, 0.071], [0.000, -2.191, 4.986]], "species": ["N", "N", "N", "N", "Np", "Li", "Li", "Th"], "frac_coords": [[0.500, 0.779, 0.783], [0.500, 0.221, 0.217], [0.000, 0.225, 0.798], [0.000, 0.775, 0.202], [0.000, 0.000, 0.000], [0.500, 0.000, 0.500], [0.000, 0.500, 0.500], [0.500, 0.500, 0.000]], "formation_energy_uncorrected_ev_per_atom": -0.9866, "volume_a3_per_cell": 110.24, "e_tot_ev_per_cell": -65.38}



10.
{"formula": "Ac2In2Pt", "functional": "PBE", "state": "relaxed", "lattice": [[4.154, 0.000, 0.000], [2.077, 6.423, -0.223], [2.077, 0.631, 11.841]], "species": ["Pt", "Pt", "Ac", "Ac", "Ac", "Ac", "In", "In", "In", "In"], "frac_coords": [[0.429, 0.849, 0.293], [0.571, 0.151, 0.707], [0.274, 0.807, 0.644], [0.909, 0.302, 0.880], [0.726, 0.193, 0.356], [0.091, 0.698, 0.120], [0.974, 0.645, 0.407], [0.628, 0.853, 0.892], [0.026, 0.355, 0.593], [0.372, 0.147, 0.108]], "e_form_kj_per_mol_fu": -332, "volume_a3_per_cell": 316.52, "e_tot_ev_per_cell": -46.35}



11.
{"formula": "Ca8As3PI3", "functional": "PBE", "state": "relaxed", "lattice": [[-4.210, 5.771, 5.042], [-0.296, -8.523, 1.927], [7.665, 4.503, 1.246]], "species": ["Ca", "Ca", "Ca", "Ca", "Ca", "Ca", "Ca", "Ca", "As", "As", "As", "P", "I", "I", "I"], "frac_coords": [[0.264, 0.035, 0.306], [0.229, 0.459, 0.694], [0.736, 0.965, 0.694], [0.771, 0.541, 0.306], [0.731, 0.463, 0.694], [0.771, 0.035, 0.306], [0.269, 0.537, 0.306], [0.229, 0.965, 0.694], [0.500, 0.500, 0.500], [0.500, 0.000, 0.500], [0.000, 0.500, 0.500], [0.000, 0.000, 0.500], [0.000, 0.000, 0.000], [0.000, 0.500, 0.000], [0.500, 0.500, 0.000]], "formation_energy_uncorrected_ev_per_atom": -1.2780, "volume_a3_per_cell": 491.26, "e_tot_ev_per_cell": -59.19}



12.
{"formula": "Zr2Sn2Ge", "functional": "PBE", "state": "relaxed", "lattice": [[-7.070, -2.558, 1.019], [2.072, -6.790, -2.676], [0.965, -1.179, 3.739]], "species": ["Zr", "Zr", "Zr", "Zr", "Ge", "Ge", "Sn", "Sn", "Sn", "Sn"], "frac_coords": [[0.343, 0.157, 0.500], [0.657, 0.843, 0.500], [0.843, 0.343, 0.500], [0.157, 0.657, 0.500], [0.000, 0.000, 0.000], [0.500, 0.500, 0.000], [0.857, 0.643, 0.000], [0.357, 0.857, 0.000], [0.143, 0.357, 0.000], [0.643, 0.143, 0.000]], "e_form_kj_per_mol_fu": -61, "volume_a3_per_cell": 232.38, "e_tot_ev_per_cell": -60.70}